(1)
VASP calculation (PBE-GGA) on BPSe2Br after structural relaxation.

Computed properties:
The value obtained for the energy above the most stable polymorph in this dataset is 236 meV per atom. The formation energy (no corrections) is 1.201 eV/atom.

Cell lengths 4.8386, 4.8386, 5.1217 Å; angles 90.00, 90.00, 90.00 degrees
Element x y z (fractional)
B (0.5000, 0.5000, 0.5000)
P (0.0000, 0.0000, 0.0000)
Se (0.0000, 0.5000, 0.0000)
Se (0.5000, 0.0000, 0.0000)
Br (0.0000, 0.0000, 0.5000)


(2)
VASP calculation (PBE-GGA) on CsCa3Cu4Br12 after structural relaxation.

Computed properties:
The formation energy (no corrections) is -1.187 eV/atom.

Cell lengths 9.3662, 9.3662, 9.3662 Å; angles 104.76, 104.76, 104.76 degrees
Site moments in Bohr magnetons follow the coordinates.
Element x y z (fractional)
Br (0.6600, 0.5000, 0.3400)  0.02
Br (0.2420, 0.3636, 0.9896)  0.02
Br (0.7580, 0.0104, 0.6364)  0.02
Br (0.0104, 0.6364, 0.7580)  0.02
Br (0.9896, 0.2420, 0.3636)  0.02
Br (0.9077, 0.5000, 0.0923)  0.03
Br (0.3400, 0.6600, 0.5000)  0.02
Br (0.5000, 0.0923, 0.9077)  0.03
Br (0.3636, 0.9896, 0.2420)  0.02
Br (0.5000, 0.3400, 0.6600)  0.02
Br (0.6364, 0.7580, 0.0104)  0.02
Br (0.0923, 0.9077, 0.5000)  0.03
Cs (0.0000, 0.0000, 0.0000)  0.00
Cu (0.0734, 0.5000, 0.9266)  0.20
Cu (0.9266, 0.0734, 0.5000)  0.20
Cu (0.5000, 0.5000, 0.5000)  0.17
Cu (0.5000, 0.9266, 0.0734)  0.20
Ca (0.5629, 0.4371, 0.0000)  0.00
Ca (0.0000, 0.5629, 0.4371)  0.00
Ca (0.4371, 0.0000, 0.5629)  0.00


(3)
VASP calculation (PBE-GGA) on HgPRuO2 after structural relaxation.

Computed properties:
The value obtained for the energy above the most stable polymorph in this dataset is 0 meV per atom. The formation energy (no corrections) is -0.315 eV/atom.

Cell lengths 3.7870, 3.7870, 5.3260 Å; angles 90.00, 90.00, 90.00 degrees
Site moments in Bohr magnetons follow the coordinates.
Element x y z (fractional)
O (0.0000, 0.5000, 0.0000)  0.07
O (0.5000, 0.0000, 0.0000)  0.07
Ru (0.0000, 0.0000, 0.0000)  0.29
P (0.0000, 0.0000, 0.5000)  0.00
Hg (0.5000, 0.5000, 0.5000)  0.00


(4)
VASP calculation (PBE-GGA) on TbErAl6 after structural relaxation.

Computed properties:
The value obtained for the energy above the most stable polymorph in this dataset is 0 meV per atom. The value obtained for the formation energy from the elements is -0.418 eV per atom.

Cell lengths 4.7211, 6.1785, 6.1785 Å; angles 120.02, 90.00, 90.00 degrees
Element x y z (fractional)
Al (0.0000, 0.6019, 0.9542)
Al (0.5000, 0.8991, 0.5481)
Al (0.0000, 0.0458, 0.3981)
Al (0.5000, 0.4519, 0.1009)
Al (0.0000, 0.6021, 0.3979)
Al (0.5000, 0.8989, 0.1011)
Er (0.0000, 0.0832, 0.9168)
Tb (0.5000, 0.4167, 0.5833)


(5)
VASP calculation (PBE-GGA) on NaCd2Ag2 after structural relaxation.

Computed properties:
The value obtained for the energy above the most stable polymorph in this dataset is 0 meV per atom. The value obtained for the formation energy from the elements is -0.087 eV per atom.

Cell lengths 8.3706, 8.3706, 3.0973 Å; angles 90.00, 90.00, 90.00 degrees
Element x y z (fractional)
Ag (0.1706, 0.6706, 0.5000)
Ag (0.8294, 0.3294, 0.5000)
Ag (0.6706, 0.8294, 0.5000)
Ag (0.3294, 0.1706, 0.5000)
Cd (0.3720, 0.8720, 0.0000)
Cd (0.6280, 0.1280, 0.0000)
Cd (0.1280, 0.3720, 0.0000)
Cd (0.8720, 0.6280, 0.0000)
Na (0.0000, 0.0000, 0.0000)
Na (0.5000, 0.5000, 0.0000)


(6)
VASP calculation (PBE-GGA) on TeRh3 after structural relaxation.

Computed properties:
The formation energy (no corrections) is 0.006 eV/atom.

Cell lengths 5.6961, 5.6961, 4.5156 Å; angles 90.00, 90.00, 120.00 degrees
Element x y z (fractional)
Te (0.6667, 0.3333, 0.7500)
Te (0.3333, 0.6667, 0.2500)
Rh (0.3269, 0.1635, 0.2500)
Rh (0.8365, 0.6731, 0.2500)
Rh (0.1635, 0.3269, 0.7500)
Rh (0.1635, 0.8365, 0.7500)
Rh (0.6731, 0.8365, 0.7500)
Rh (0.8365, 0.1635, 0.2500)


(7)
VASP calculation (PBE-GGA) on CsV3Cd after structural relaxation.

Computed properties:
The value obtained for the energy above the most stable polymorph in this dataset is 0 meV per atom. The value obtained for the formation energy from the elements is 1.739 eV per atom.

Cell lengths 5.0932, 5.0932, 5.0932 Å; angles 90.00, 90.00, 90.00 degrees
Site moments in Bohr magnetons follow the coordinates.
Element x y z (fractional)
V (0.0000, 0.0000, 0.5000)  2.69
V (0.0000, 0.5000, 0.0000)  2.69
V (0.5000, 0.0000, 0.0000)  2.69
Cd (0.0000, 0.0000, 0.0000)  0.05
Cs (0.5000, 0.5000, 0.5000)  0.14


(8)
VASP calculation (PBE-GGA) on HoTmCuAu after structural relaxation.

Computed properties:
The value obtained for the formation energy from the elements is -0.570 eV per atom.

Cell lengths 4.9675, 4.9675, 4.9675 Å; angles 60.00, 60.00, 60.00 degrees
Element x y z (fractional)
Au (0.7500, 0.7500, 0.7500)
Tm (0.5000, 0.5000, 0.5000)
Cu (0.2500, 0.2500, 0.2500)
Ho (0.0000, 0.0000, 0.0000)


(9)
VASP calculation (PBE-GGA) on Zn3AuN after structural relaxation.

Computed properties:
The value obtained for the energy above the most stable polymorph in this dataset is 890 meV per atom. The formation energy (no corrections) is 1.069 eV/atom.

Cell lengths 4.9585, 4.9585, 4.9585 Å; angles 90.00, 90.00, 90.00 degrees
Site moments in Bohr magnetons follow the coordinates.
Element x y z (fractional)
Zn (0.5000, 0.0000, 0.0000)  0.03
Zn (0.0000, 0.0000, 0.5000)  -0.02
Zn (0.0000, 0.5000, 0.0000)  0.03
N (0.5000, 0.5000, 0.5000)  1.66
Au (0.0000, 0.0000, 0.0000)  0.00


(10)
VASP calculation (PBE-GGA) on TeRu2W after structural relaxation.

Computed properties:
The formation energy (no corrections) is 0.569 eV/atom.

Cell lengths 8.8411, 8.8411, 8.8411 Å; angles 19.38, 19.38, 19.38 degrees
Element x y z (fractional)
Ru (0.0005, 0.0005, 0.0005)
Ru (0.2505, 0.2505, 0.2505)
Te (0.5037, 0.5037, 0.5037)
W (0.7454, 0.7454, 0.7454)


(11)
VASP calculation (PBE-GGA) on SrTcRh after structural relaxation.

Computed properties:
The value obtained for the energy above the most stable polymorph in this dataset is 283 meV per atom. The value obtained for the formation energy from the elements is 0.374 eV per atom.

Cell lengths 6.6758, 6.6762, 3.1321 Å; angles 76.43, 76.44, 27.13 degrees
Element x y z (fractional)
Tc (0.6340, 0.6340, 0.3660)
Rh (0.0314, 0.0314, 0.9686)
Sr (0.3346, 0.3346, 0.6654)


(12)
VASP calculation (PBE-GGA) on BaGd2Al after structural relaxation.

Computed properties:
The value obtained for the energy above the most stable polymorph in this dataset is 0 meV per atom. The value obtained for the formation energy from the elements is -0.084 eV per atom.

Cell lengths 3.7207, 3.7207, 9.8625 Å; angles 90.00, 90.00, 90.00 degrees
Site moments in Bohr magnetons follow the coordinates.
Element x y z (fractional)
Gd (0.0000, 0.0000, 0.8268)  7.14
Gd (0.0000, 0.0000, 0.1732)  7.14
Al (0.5000, 0.5000, 0.0000)  -0.03
Ba (0.5000, 0.5000, 0.5000)  0.03


Number 1: mass density 3.9 g/cm3. Number 2: mass density 3.4 g/cm3. Number 3: mass density 7.9 g/cm3. Number 4: mass density 5.2 g/cm3. Number 5: mass density 7.1 g/cm3. Number 6: mass density 11.4 g/cm3. Number 7: mass density 5.0 g/cm3. Number 8: mass density 11.4 g/cm3. Number 9: mass density 5.5 g/cm3. Number 10: mass density 12.8 g/cm3. Number 11: mass density 7.8 g/cm3. Number 12: mass density 5.8 g/cm3.